Here is a geometry-optimized KMoPt2 structure from Alexandria via LeMat-Bulk. Energies are from GGA-PBE.

Cell and atoms, written as POSCAR:
```
KMoPt2
1.0
5.159 0.000 0.000
1.853 4.815 0.000
-3.506 -2.407 2.920
K Mo Pt
1 1 2
direct
0.500 0.500 0.000
0.750 0.250 0.500
0.000 0.000 0.000
0.250 0.750 0.500
```

Calculated values
* ΔE_f: 0.82 eV/atom
* energy above the most stable polymorph in this dataset: 833 meV per atom
* uncorrected energy: -20.7 eV for the cell shown

=====

Here is a geometry-optimized K2MoPt structure from Alexandria via LeMat-Bulk. Energies are from GGA-PBE.

Cell and atoms, written as POSCAR:
```
K2MoPt
1.0
-1.035 -3.112 -11.584
8.413 -8.476 1.525
1.944 -7.419 -4.437
Mo K Pt
2 4 2
direct
0.500 0.500 0.000
0.250 0.750 0.500
0.789 0.125 0.250
0.961 0.625 0.250
0.375 0.211 0.750
0.875 0.039 0.750
0.000 0.000 0.000
0.750 0.250 0.500
```

Calculated values
* ΔE_f: 0.87 eV/atom
* energy above the most stable polymorph in this dataset: 417 meV per atom
* uncorrected energy: -31.1 eV for the cell shown

=====

Here is a geometry-optimized KMoPt2 structure from Alexandria via LeMat-Bulk. Energies are from GGA-PBE.

Cell and atoms, written as POSCAR:
```
KMoPt2
1.0
-1.298 -2.109 -1.505
-0.398 -1.501 2.446
-7.953 4.046 1.188
K Mo Pt
1 1 2
direct
0.500 0.500 0.250
0.500 0.500 0.750
0.000 0.000 0.950
0.000 0.000 0.550
```

Calculated values
* ΔE_f: -0.02 eV/atom
* energy above the most stable polymorph in this dataset: 0 meV per atom
* uncorrected energy: -24.1 eV for the cell shown

=====

Repeat the third record exactly.
Here is a geometry-optimized KMoPt2 structure from Alexandria via LeMat-Bulk. Energies are from GGA-PBE.

Cell and atoms, written as POSCAR:
```
KMoPt2
1.0
-1.298 -2.109 -1.505
-0.398 -1.501 2.446
-7.953 4.046 1.188
K Mo Pt
1 1 2
direct
0.500 0.500 0.250
0.500 0.500 0.750
0.000 0.000 0.950
0.000 0.000 0.550
```

Calculated values
* ΔE_f: -0.02 eV/atom
* energy above the most stable polymorph in this dataset: 0 meV per atom
* uncorrected energy: -24.1 eV for the cell shown